P | Compound: TePbBr
Source: Alexandria
Functional: PBE
Structure: optimized geometry

Results
As for the crystal system: tetragonal. As for the calculated density: 6.545 g/cm3. The space group is I4mm.

a = 8.2466 Å, b = 8.2466 Å, c = 8.2466 Å
α = 154.31°, β = 154.31°, γ = 36.64°
Last column: nearest neighbours and their distance in Å.
Positions (direct):
Te  0.0000  0.0000  0.0000  4 Pb 3.44, 4 Te 3.67
Pb  0.6444  0.6444  0.0000  4 Br 3.17, 4 Te 3.44
Br  0.2608  0.2608  0.0000  4 Pb 3.17

Q | Compound: TePbBr
Source: Alexandria
Functional: PBE
Structure: optimized geometry

Results
As for the crystal system: cubic. As for the calculated density: 6.401 g/cm3. The space group is F-43m.

a = 5.3384 Å, b = 5.3384 Å, c = 5.3384 Å
α = 60.00°, β = 60.00°, γ = 60.00°
Last column: nearest neighbours and their distance in Å.
Positions (direct):
Te  0.0000  0.0000  0.0000  4 Pb 3.27
Pb  0.2500  0.2500  0.2500  4 Br 3.27, 4 Te 3.27
Br  0.5000  0.5000  0.5000  4 Pb 3.27

If we sort the structures by their calculated energies, the order from most to least stable is P, Q.

P | Compound: Te2Pb2Br
Source: Alexandria
Functional: PBE
Structure: optimized geometry

Results
As for the crystal system: tetragonal. As for the calculated density: 7.591 g/cm3. The space group is P4/mbm.

a = 9.0444 Å, b = 9.0444 Å, c = 4.0085 Å
α = 90.00°, β = 90.00°, γ = 90.00°
Last column: nearest neighbours and their distance in Å.
Positions (direct):
Te  0.1395  0.3605  0.0000  6 Pb 3.32, 2 Br 3.50, 1 Te 3.57
Te  0.3605  0.8605  0.0000  6 Pb 3.32, 2 Br 3.50, 1 Te 3.57
Te  0.6395  0.1395  0.0000  6 Pb 3.32, 2 Br 3.50, 1 Te 3.57
Te  0.8605  0.6395  0.0000  6 Pb 3.32, 2 Br 3.50, 1 Te 3.57
Pb  0.1535  0.6535  0.5000  6 Te 3.32
Pb  0.3465  0.1535  0.5000  6 Te 3.32
Pb  0.6535  0.8465  0.5000  6 Te 3.32
Pb  0.8465  0.3465  0.5000  6 Te 3.32
Br  0.0000  0.0000  0.0000  4 Te 3.50
Br  0.5000  0.5000  0.0000  4 Te 3.50

Q | Compound: Te2Pb2Br
Source: Alexandria
Functional: PBE
Structure: optimized geometry

Results
As for the crystal system: tetragonal. As for the calculated density: 6.722 g/cm3. The space group is I4/mmm.

a = 8.1913 Å, b = 8.1913 Å, c = 8.1913 Å
α = 144.41°, β = 144.41°, γ = 51.21°
Last column: nearest neighbours and their distance in Å.
Positions (direct):
Te  0.2500  0.7500  0.5000  4 Pb 3.15
Te  0.7500  0.2500  0.5000  4 Pb 3.15
Pb  0.1201  0.1201  0.0000  4 Te 3.15
Pb  0.8799  0.8799  0.0000  4 Te 3.15
Br  0.5000  0.5000  0.0000  8 Pb 3.96

If we sort the structures by their calculated energies, the order from most to least stable is Q, P.

P | Compound: TePb3Br
Source: Alexandria
Functional: PBE
Structure: optimized geometry

Results
As for the crystal system: cubic. As for the calculated density: 6.107 g/cm3. The space group is Pm-3m.

a = 6.0860 Å, b = 6.0860 Å, c = 6.0860 Å
α = 90.00°, β = 90.00°, γ = 90.00°
Last column: nearest neighbours and their distance in Å.
Positions (direct):
Te  0.0000  0.0000  0.0000  6 Pb 3.04
Pb  0.0000  0.0000  0.5000  2 Te 3.04
Pb  0.0000  0.5000  0.0000  2 Te 3.04
Pb  0.5000  0.0000  0.0000  2 Te 3.04
Br  0.5000  0.5000  0.5000  12 Pb 4.30

Q | Compound: TePb3Br
Source: Alexandria
Functional: PBE
Structure: optimized geometry

Results
As for the crystal system: cubic. As for the calculated density: 7.053 g/cm3. The space group is Pm-3m.

a = 5.8009 Å, b = 5.8009 Å, c = 5.8009 Å
α = 90.00°, β = 90.00°, γ = 90.00°
Last column: nearest neighbours and their distance in Å.
Positions (direct):
Te  0.0000  0.0000  0.0000  12 Pb 4.10
Pb  0.0000  0.5000  0.5000  2 Br 2.90
Pb  0.5000  0.0000  0.5000  2 Br 2.90
Pb  0.5000  0.5000  0.0000  2 Br 2.90
Br  0.5000  0.5000  0.5000  6 Pb 2.90

If we sort the structures by their calculated energies, the order from most to least stable is P, Q.

P | Compound: TiPb3Br
Source: Alexandria
Functional: PBE
Structure: optimized geometry

Results
As for the crystal system: cubic. As for the calculated density: 7.531 g/cm3. The space group is Pm-3m.

a = 5.4874 Å, b = 5.4874 Å, c = 5.4874 Å
α = 90.00°, β = 90.00°, γ = 90.00°
Last column: nearest neighbours and their distance in Å.
Positions (direct):
Ti  0.0000  0.0000  0.0000  6 Pb 2.74
Pb  0.0000  0.0000  0.5000  2 Ti 2.74
Pb  0.0000  0.5000  0.0000  2 Ti 2.74
Pb  0.5000  0.0000  0.0000  2 Ti 2.74
Br  0.5000  0.5000  0.5000  12 Pb 3.88

Q | Compound: TiPb3Br
Source: Alexandria
Functional: PBE
Structure: optimized geometry

Results
As for the crystal system: cubic. As for the calculated density: 7.043 g/cm3. The space group is Pm-3m.

a = 5.6114 Å, b = 5.6114 Å, c = 5.6114 Å
α = 90.00°, β = 90.00°, γ = 90.00°
Last column: nearest neighbours and their distance in Å.
Positions (direct):
Ti  0.0000  0.0000  0.0000  12 Pb 3.97
Pb  0.0000  0.5000  0.5000  2 Br 2.81
Pb  0.5000  0.0000  0.5000  2 Br 2.81
Pb  0.5000  0.5000  0.0000  2 Br 2.81
Br  0.5000  0.5000  0.5000  6 Pb 2.81

If we sort the structures by their calculated energies, the order from most to least stable is P, Q.

P | Compound: TiPbBr2
Source: Alexandria
Functional: PBE
Structure: optimized geometry

Results
As for the crystal system: tetragonal. As for the calculated density: 4.860 g/cm3. The space group is I-42d.

a = 7.4700 Å, b = 7.4700 Å, c = 7.4700 Å
α = 122.35°, β = 122.35°, γ = 85.98°
Last column: nearest neighbours and their distance in Å.
Positions (direct):
Ti  0.0000  0.0000  0.0000  4 Br 2.54
Ti  0.7500  0.2500  0.5000  4 Br 2.54
Pb  0.2500  0.7500  0.5000  4 Br 3.34
Pb  0.5000  0.5000  0.0000  4 Br 3.34
Br  0.0346  0.6250  0.9096  2 Ti 2.54
Br  0.3750  0.2846  0.4096  2 Ti 2.54
Br  0.7154  0.1250  0.0904  2 Ti 2.54
Br  0.8750  0.9654  0.5904  2 Ti 2.54

Q | Compound: TiPbBr2
Source: Alexandria
Functional: PBE
Structure: optimized geometry

Results
As for the crystal system: cubic. As for the calculated density: 6.810 g/cm3. The space group is Fm-3m.

a = 5.2300 Å, b = 5.2300 Å, c = 5.2300 Å
α = 60.00°, β = 60.00°, γ = 60.00°
Last column: nearest neighbours and their distance in Å.
Positions (direct):
Ti  0.0000  0.0000  0.0000  8 Br 3.20
Pb  0.5000  0.5000  0.5000  8 Br 3.20
Br  0.2500  0.2500  0.2500  4 Pb 3.20, 4 Ti 3.20
Br  0.7500  0.7500  0.7500  4 Pb 3.20, 4 Ti 3.20

R | Compound: TiPbBr2
Source: Alexandria
Functional: PBE
Structure: optimized geometry

Results
As for the crystal system: trigonal. As for the calculated density: 6.095 g/cm3. The space group is R-3m.

a = 11.2229 Å, b = 11.2229 Å, c = 11.2229 Å
α = 17.62°, β = 17.62°, γ = 17.62°
Last column: nearest neighbours and their distance in Å.
Positions (direct):
Ti  0.0000  0.0000  0.0000  6 Br 2.62
Pb  0.5000  0.5000  0.5000  6 Pb 3.44, 2 Br 3.81
Br  0.3850  0.3850  0.3850  3 Ti 2.62
Br  0.6150  0.6150  0.6150  3 Ti 2.62

If we sort the structures by their calculated energies, the order from most to least stable is R, P, Q.